# 1
Crystalline Ac5SiPb2 at its relaxed geometry, computed with PBE.

Cell and atoms, written as CIF:
```
data_Ac5SiPb2
_cell_length_a 6.422
_cell_length_b 10.626
_cell_length_c 17.913
_cell_angle_alpha 90.00
_cell_angle_beta 90.00
_cell_angle_gamma 90.00
_symmetry_space_group_name_H-M 'C m c m'
_symmetry_Int_Tables_number 63
_symmetry_space_group_name_Hall '-C 2c 2'
loop_
_atom_site_label
_atom_site_type_symbol
_atom_site_fract_x
_atom_site_fract_y
_atom_site_fract_z
Ac1 Ac 0.000 0.086 0.106
Ac2 Ac 0.000 0.250 0.750
Ac3 Ac 0.000 0.413 0.106
Si1 Si 0.000 0.249 0.250
Pb1 Pb 0.000 0.250 0.563
```

Output
Raw formation energy = -0.28 eV per atom
ΔE to the lowest computed polymorph = 0.208 eV per atom
Magnetization = 0.00 μB/cell

# 2
Crystalline RbTiTeO5 at its relaxed geometry, computed with PBE.

Cell and atoms, written as CIF:
```
data_RbTiTeO5
_cell_length_a 7.413
_cell_length_b 9.856
_cell_length_c 7.488
_cell_angle_alpha 90.00
_cell_angle_beta 113.15
_cell_angle_gamma 90.00
_symmetry_space_group_name_H-M 'C 1 2/c 1'
_symmetry_Int_Tables_number 15
loop_
_symmetry_equiv_pos_as_xyz
'x,y,z'
'-x,-y,-z'
'-x,y,-z+1/2'
'x,-y,z+1/2'
'x+1/2,y+1/2,z'
'-x+1/2,-y+1/2,-z'
'-x+1/2,y+1/2,-z+1/2'
'x+1/2,-y+1/2,z+1/2'
loop_
_atom_site_label
_atom_site_type_symbol
_atom_site_fract_x
_atom_site_fract_y
_atom_site_fract_z
Rb1 Rb 0.000 0.170 0.250
Ti1 Ti 0.000 0.500 0.000
Te1 Te 0.000 0.192 0.750
O1 O 0.000 0.459 0.250
O2 O 0.093 0.310 0.598
O3 O 0.215 0.078 0.919
```

Output
Raw formation energy = -1.74 eV per atom
Magnetization = 0.00 μB/cell

# 3
Crystalline K3SiNi at its relaxed geometry, computed with PBE.

Cell and atoms, written as CIF:
```
data_K3SiNi
_cell_length_a 6.008
_cell_length_b 6.008
_cell_length_c 6.008
_cell_angle_alpha 90.00
_cell_angle_beta 90.00
_cell_angle_gamma 90.00
_symmetry_space_group_name_H-M 'P m -3 m'
_symmetry_Int_Tables_number 221
_symmetry_space_group_name_Hall '-P 4 2 3'
loop_
_atom_site_label
_atom_site_type_symbol
_atom_site_fract_x
_atom_site_fract_y
_atom_site_fract_z
K1 K 0.000 0.000 0.500
Si1 Si 0.500 0.500 0.500
Ni1 Ni 0.000 0.000 0.000
```

Output
Raw formation energy = 0.85 eV per atom
Magnetization = 3.00 μB/cell

# 4
Crystalline Rb3Er3UO8 at its relaxed geometry, computed with PBE.

Cell and atoms, written as CIF:
```
data_Rb3Er3UO8
_cell_length_a 12.028
_cell_length_b 6.956
_cell_length_c 7.777
_cell_angle_alpha 90.00
_cell_angle_beta 121.12
_cell_angle_gamma 90.00
_symmetry_space_group_name_H-M 'C 1 2/m 1'
_symmetry_Int_Tables_number 12
loop_
_symmetry_equiv_pos_as_xyz
'x,y,z'
'-x,-y,-z'
'-x,y,-z'
'x,-y,z'
'x+1/2,y+1/2,z'
'-x+1/2,-y+1/2,-z'
'-x+1/2,y+1/2,-z'
'x+1/2,-y+1/2,z'
loop_
_atom_site_label
_atom_site_type_symbol
_atom_site_fract_x
_atom_site_fract_y
_atom_site_fract_z
Rb1 Rb 0.000 0.000 0.000
Rb2 Rb 0.250 0.250 0.000
Er1 Er 0.000 0.500 0.500
Er2 Er 0.250 0.250 0.500
U1 U 0.000 0.000 0.500
O1 O 0.027 0.246 0.335
O2 O 0.218 0.000 0.664
O3 O 0.223 0.500 0.668
```

Output
Raw formation energy = -2.82 eV per atom
Magnetization = 3.98 μB/cell